Here is HoLu6Ni2Te2 after structural relaxation from the Open Quantum Materials Database. Energies are from PBE.

## Properties
The value obtained for the total magnetic moment is 0.02 μB/f.u. The mass density comes out at 9.7 g cm⁻³. The raw total energy is -5.150 eV per atom.

a = 9.1588 Å, b = 9.1588 Å, c = 9.1588 Å
α = 156.04°, β = 67.26°, γ = 118.21°
Sites, in units of the cell vectors:
Lu  0.6912  0.3767  0.3145
Lu  0.7173  0.5821  0.1352
Lu  0.4469  0.5821  0.8648
Lu  0.0622  0.3767  0.6855
Lu  0.3760  0.7289  0.6471
Lu  0.0818  0.7289  0.3529
Ho  0.0006  0.0006  0.0000
Te  0.7329  0.2329  0.5000
Te  0.3394  0.3394  0.0000
Ni  0.8334  0.0699  0.7635
Ni  0.3064  0.0699  0.2365